## La2CrRu (PBE-GGA)

Data for crystalline La2CrRu at its relaxed geometry.

## Properties
Crystal system   orthorhombic
V   196.80 Å³ per cell
ΔE to the lowest computed polymorph   5 meV/atom
Space-group type   Imm2, No. 44

extended XYZ file:
```
8
Lattice="3.6044 0.0000 0.0000 0.0000 4.7911 0.0000 0.0000 0.0000 11.3964" Properties=species:S:1:pos:R:3 pbc="T T T"
La 0.0000 0.0000 0.0000
La 0.0000 2.3956 2.4441
La 1.8022 0.0000 8.1423
La 1.8022 2.3956 5.6982
Cr 0.0000 0.0000 4.7515
Cr 1.8022 2.3956 10.4496
Ru 0.0000 2.3956 9.0884
Ru 1.8022 0.0000 3.3902
```